# 1
This record from Alexandria via LeMat-Bulk describes a relaxed HfOsSeBr2 crystal. The functional is GGA-PBE.

Summary:
formation energy from raw total energies = 4.32 eV per formula unit
raw total energy = -4.739 eV/atom
symmetry = P4/mmm (123)

The structure in POSCAR format:
```
HfOsSeBr2
1.0
4.950 0.000 0.000
0.000 4.950 0.000
0.000 0.000 4.889
Hf Os Se Br
1 1 1 2
Cartesian
0.000 0.000 0.000
2.475 2.475 2.445
2.475 2.475 0.000
0.000 2.475 2.445
2.475 0.000 2.445
```



# 2
This record from Alexandria via LeMat-Bulk describes a relaxed HfOsSeBr2 crystal. The functional is GGA-PBE.

Summary:
formation energy from raw total energies = 3.55 eV per formula unit
raw total energy = -4.893 eV/atom
symmetry = P4/mmm (123)

The structure in POSCAR format:
```
HfOsSeBr2
1.0
5.289 0.000 0.000
0.000 5.289 0.000
0.000 0.000 5.143
Hf Os Se Br
1 1 1 2
Cartesian
0.000 0.000 0.000
2.644 2.644 2.571
0.000 0.000 2.571
0.000 2.644 0.000
2.644 0.000 0.000
```



# 3
This record from Alexandria via LeMat-Bulk describes a relaxed YHfOsBr2 crystal. The functional is GGA-PBE.

Summary:
formation energy from raw total energies = 5.84 eV per formula unit
raw total energy = -5.031 eV/atom
symmetry = P4/mmm (123)

The structure in POSCAR format:
```
YHfOsBr2
1.0
5.120 0.000 0.000
0.000 5.120 0.000
0.000 0.000 6.766
Y Hf Os Br
1 1 1 2
Cartesian
0.000 0.000 0.000
0.000 0.000 3.383
2.560 2.560 3.383
0.000 2.560 0.000
2.560 0.000 0.000
```



# 4
This record from Alexandria via LeMat-Bulk describes a relaxed Hf2PBr crystal. The functional is GGA-PBE.

Summary:
formation energy from raw total energies = -2.16 eV per formula unit
raw total energy = -7.288 eV/atom
symmetry = Fm-3m (225)

The structure in POSCAR format:
```
Hf2PBr
1.0
6.595 0.000 0.000
0.000 6.595 0.000
0.000 0.000 6.595
Hf P Br
8 4 4
Cartesian
1.649 1.649 1.649
1.649 1.649 4.946
1.649 4.946 1.649
1.649 4.946 4.946
4.946 1.649 1.649
4.946 1.649 4.946
4.946 4.946 1.649
4.946 4.946 4.946
0.000 0.000 0.000
0.000 3.297 3.297
3.297 0.000 3.297
3.297 3.297 0.000
0.000 0.000 3.297
0.000 3.297 0.000
3.297 0.000 0.000
3.297 3.297 3.297
```



# 5
This record from Alexandria via LeMat-Bulk describes a relaxed Hf2PBr crystal. The functional is GGA-PBE.

Summary:
formation energy from raw total energies = -0.35 eV per formula unit
raw total energy = -6.835 eV/atom
symmetry = I-42d (122)

The structure in POSCAR format:
```
Hf2PBr
1.0
4.831 0.000 0.000
0.000 4.831 0.000
0.000 0.000 16.148
Hf P Br
8 4 4
Cartesian
1.046 1.208 2.019
1.208 3.461 6.056
1.208 3.785 14.130
1.369 1.208 10.093
3.461 3.623 10.093
3.623 1.046 14.130
3.623 1.369 6.056
3.785 3.623 2.019
0.000 0.000 0.000
0.000 2.415 4.037
2.415 0.000 12.111
2.415 2.415 8.074
0.000 0.000 8.074
0.000 2.415 12.111
2.415 0.000 4.037
2.415 2.415 0.000
```



# 6
This record from Alexandria via LeMat-Bulk describes a relaxed HfPBr2 crystal. The functional is GGA-PBE.

Summary:
formation energy from raw total energies = -0.44 eV per formula unit
raw total energy = -4.787 eV/atom
symmetry = R-3m (166)

The structure in POSCAR format:
```
HfPBr2
1.0
3.300 0.000 0.000
-1.650 2.858 0.000
0.000 0.000 34.159
Hf P Br
3 3 6
Cartesian
0.000 0.000 0.000
0.000 1.905 22.772
1.650 0.953 11.386
0.000 0.000 17.079
0.000 1.905 5.693
1.650 0.953 28.465
0.000 0.000 13.340
0.000 0.000 20.819
0.000 1.905 1.953
0.000 1.905 9.433
1.650 0.953 24.726
1.650 0.953 32.205
```



# 7
This record from Alexandria via LeMat-Bulk describes a relaxed HfPBr3 crystal. The functional is GGA-PBE.

Summary:
formation energy from raw total energies = -0.59 eV per formula unit
raw total energy = -4.194 eV/atom
symmetry = Pm-3m (221)

The structure in POSCAR format:
```
HfPBr3
1.0
5.304 0.000 0.000
0.000 5.304 0.000
0.000 0.000 5.304
Hf P Br
1 1 3
Cartesian
0.000 0.000 0.000
2.652 2.652 2.652
0.000 0.000 2.652
0.000 2.652 0.000
2.652 0.000 0.000
```



# 8
This record from Alexandria via LeMat-Bulk describes a relaxed Hf2PBr2 crystal. The functional is GGA-PBE.

Summary:
formation energy from raw total energies = -6.21 eV per formula unit
raw total energy = -6.974 eV/atom
symmetry = R-3m (166)

The structure in POSCAR format:
```
Hf2PBr2
1.0
3.794 0.000 0.000
-1.897 3.286 0.000
0.000 0.000 30.453
Hf P Br
6 3 6
Cartesian
0.000 0.000 3.833
0.000 0.000 26.620
0.000 2.190 16.469
0.000 2.190 24.135
1.897 1.095 6.318
1.897 1.095 13.984
0.000 0.000 15.226
0.000 2.190 5.075
1.897 1.095 25.377
0.000 0.000 8.155
0.000 0.000 22.298
0.000 2.190 12.147
0.000 2.190 28.457
1.897 1.095 1.996
1.897 1.095 18.306
```



# 9
This record from Alexandria via LeMat-Bulk describes a relaxed HfPBr3 crystal. The functional is GGA-PBE.

Summary:
formation energy from raw total energies = 3.55 eV per formula unit
raw total energy = -3.367 eV/atom
symmetry = Pm-3m (221)

The structure in POSCAR format:
```
HfPBr3
1.0
5.148 0.000 0.000
0.000 5.148 0.000
0.000 0.000 5.148
Hf P Br
1 1 3
Cartesian
0.000 0.000 0.000
2.574 2.574 2.574
0.000 2.574 2.574
2.574 0.000 2.574
2.574 2.574 0.000
```



# 10
This record from Alexandria via LeMat-Bulk describes a relaxed HfPBr2 crystal. The functional is GGA-PBE.

Summary:
formation energy from raw total energies = -1.79 eV per formula unit
raw total energy = -5.126 eV/atom
symmetry = I-42d (122)

The structure in POSCAR format:
```
HfPBr2
1.0
9.833 0.000 0.000
0.000 9.833 0.000
0.000 0.000 5.007
Hf P Br
4 4 8
Cartesian
0.000 0.000 0.000
0.000 4.916 1.252
4.916 0.000 3.755
4.916 4.916 2.503
0.000 0.000 2.503
0.000 4.916 3.755
4.916 0.000 1.252
4.916 4.916 0.000
0.991 2.458 0.626
2.458 5.908 1.878
2.458 8.842 4.381
3.925 2.458 3.129
5.908 7.375 3.129
7.375 0.991 4.381
7.375 3.925 1.878
8.842 7.375 0.626
```



# 11
This record from Alexandria via LeMat-Bulk describes a relaxed HfPBr2 crystal. The functional is GGA-PBE.

Summary:
formation energy from raw total energies = 0.74 eV per formula unit
raw total energy = -4.493 eV/atom
symmetry = Fm-3m (225)

The structure in POSCAR format:
```
HfPBr2
1.0
6.795 0.000 0.000
0.000 6.795 0.000
0.000 0.000 6.795
Hf P Br
4 4 8
Cartesian
0.000 0.000 0.000
0.000 3.398 3.398
3.398 0.000 3.398
3.398 3.398 0.000
0.000 0.000 3.398
0.000 3.398 0.000
3.398 0.000 0.000
3.398 3.398 3.398
1.699 1.699 1.699
1.699 1.699 5.096
1.699 5.096 1.699
1.699 5.096 5.096
5.096 1.699 1.699
5.096 1.699 5.096
5.096 5.096 1.699
5.096 5.096 5.096
```



# 12
This record from Alexandria via LeMat-Bulk describes a relaxed Rb2HfPBr6 crystal. The functional is GGA-PBE.

Summary:
formation energy from raw total energies = -10.15 eV per formula unit
raw total energy = -3.749 eV/atom
symmetry = I4/mmm (139)

The structure in POSCAR format:
```
Rb2HfPBr6
1.0
-4.320 4.320 5.157
4.320 -4.320 5.157
4.320 4.320 -5.157
Rb Hf P Br
2 1 1 6
Cartesian
4.320 0.000 2.579
0.000 4.320 2.579
0.000 0.000 0.000
0.000 0.000 5.157
1.866 1.866 0.000
2.454 -2.454 5.157
0.000 0.000 2.621
0.000 0.000 7.694
-2.454 2.454 5.157
2.454 2.454 5.157
```